[1]
TbHoGa | GGA-PBE | relaxed

Output
- polymorph energy (0 for the lowest one) (eV per formula unit) = 0.00

a = 7.001 Å, b = 7.001 Å, c = 7.001 Å
α = 90.00°, β = 90.00°, γ = 90.00°
Space group F-43m (No. 216)
Asymmetric unit:
Tb 0.000 0.000 0.000
Ho 0.000 0.000 0.500
Ga 0.250 0.250 0.750

---

[2]
TbHoGa4 | GGA-PBE | relaxed

Output
- E (eV for the cell shown) = -48.98

a = 4.325 Å, b = 4.307 Å, c = 13.428 Å
α = 90.00°, β = 90.00°, γ = 90.00°
Space group Amm2 (No. 38)
Asymmetric unit:
Tb 0.000 0.000 0.000
Ho 0.000 0.000 0.303
Ga 0.000 0.000 0.652
Ga 0.500 0.000 0.152
Ga 0.500 0.000 0.475
Ga 0.500 0.000 0.826

---

[3]
HoGaTc | GGA-PBE | relaxed

Output
- polymorph energy (0 for the lowest one) (eV per formula unit) = 2.30

a = 6.528 Å, b = 6.528 Å, c = 6.528 Å
α = 90.00°, β = 90.00°, γ = 90.00°
Space group F-43m (No. 216)
Asymmetric unit:
Ho 0.000 0.000 0.000
Ga 0.250 0.250 0.750
Tc 0.250 0.250 0.250

---

[4]
HoGaTc | GGA-PBE | relaxed

Output
- polymorph energy (0 for the lowest one) (eV per formula unit) = 0.00

a = 6.298 Å, b = 6.298 Å, c = 6.298 Å
α = 90.00°, β = 90.00°, γ = 90.00°
Space group F-43m (No. 216)
Asymmetric unit:
Ho 0.000 0.000 0.000
Ga 0.250 0.250 0.250
Tc 0.000 0.000 0.500

---

[5]
HoGaTe | GGA-PBE | relaxed

Output
- polymorph energy (0 for the lowest one) (eV per formula unit) = 0.00

a = 7.089 Å, b = 7.089 Å, c = 7.089 Å
α = 90.00°, β = 90.00°, γ = 90.00°
Space group F-43m (No. 216)
Asymmetric unit:
Ho 0.000 0.000 0.000
Ga 0.000 0.000 0.500
Te 0.250 0.250 0.750

---

[6]
Ho5GaTe4 | GGA-PBE | relaxed

Output
- E (eV for the cell shown) = -100.67

a = 9.670 Å, b = 9.670 Å, c = 6.082 Å
α = 90.00°, β = 90.00°, γ = 90.00°
Space group I4/m (No. 87)
Asymmetric unit:
Ho 0.000 0.000 0.000
Ho 0.096 0.724 0.500
Ga 0.000 0.000 0.500
Te 0.092 0.694 0.000

---

[7]
HoTlGaTe3 | GGA-PBE | relaxed

Output
- E (eV for the cell shown) = -94.15

a = 4.546 Å, b = 15.231 Å, c = 11.570 Å
α = 90.00°, β = 90.00°, γ = 90.00°
Space group Cmcm (No. 63)
Asymmetric unit:
Ho 0.000 0.000 0.000
Tl 0.000 0.246 0.250
Ga 0.000 0.465 0.750
Te 0.000 0.075 0.750
Te 0.000 0.365 0.550

---

[8]
YHoGaTe3 | GGA-PBE | relaxed

Output
- E (eV for the cell shown) = -116.95

a = 4.131 Å, b = 15.370 Å, c = 10.415 Å
α = 90.00°, β = 90.00°, γ = 90.00°
Space group Cmcm (No. 63)
Asymmetric unit:
Y 0.000 0.222 0.250
Ho 0.000 0.000 0.000
Ga 0.000 0.477 0.750
Te 0.000 0.124 0.750
Te 0.000 0.347 0.544

---

[9]
HoThGa | GGA-PBE | relaxed

Output
- polymorph energy (0 for the lowest one) (eV per formula unit) = 0.00

a = 7.030 Å, b = 7.030 Å, c = 7.030 Å
α = 90.00°, β = 90.00°, γ = 90.00°
Space group F-43m (No. 216)
Asymmetric unit:
Ho 0.000 0.000 0.000
Th 0.000 0.000 0.500
Ga 0.250 0.250 0.250

---

[10]
Ho5TlGa2 | GGA-PBE | relaxed

Output
- E (eV for the cell shown) = -139.77

a = 7.708 Å, b = 7.708 Å, c = 14.264 Å
α = 90.00°, β = 90.00°, γ = 90.00°
Space group I4/mcm (No. 140)
Asymmetric unit:
Ho 0.000 0.000 0.000
Ho 0.166 0.334 0.144
Tl 0.000 0.000 0.250
Ga 0.125 0.375 0.500

---

[11]
HoTmGa5 | GGA-PBE | relaxed

Output
- E (eV for the cell shown) = -27.12

a = 4.213 Å, b = 4.213 Å, c = 8.233 Å
α = 90.00°, β = 90.00°, γ = 90.00°
Space group P4/mmm (No. 123)
Asymmetric unit:
Ho 0.000 0.000 0.000
Tm 0.000 0.000 0.500
Ga 0.000 0.500 0.256
Ga 0.500 0.500 0.000

---

[12]
Ho2TmGa5 | GGA-PBE | relaxed

Output
- E (eV for the cell shown) = -64.66

a = 4.767 Å, b = 6.688 Å, c = 10.667 Å
α = 90.00°, β = 90.00°, γ = 90.00°
Space group Amm2 (No. 38)
Asymmetric unit:
Ho 0.000 0.000 0.000
Ho 0.500 0.000 0.304
Tm 0.000 0.000 0.517
Ga 0.000 0.237 0.753
Ga 0.500 0.000 0.799
Ga 0.500 0.239 0.572

---

[13]
HoTmGa | GGA-PBE | relaxed

Output
- polymorph energy (0 for the lowest one) (eV per formula unit) = 0.00

a = 6.951 Å, b = 6.951 Å, c = 6.951 Å
α = 90.00°, β = 90.00°, γ = 90.00°
Space group F-43m (No. 216)
Asymmetric unit:
Ho 0.000 0.000 0.000
Tm 0.000 0.000 0.500
Ga 0.250 0.250 0.250

---

[14]
HoUGa | GGA-PBE | relaxed

Output
- polymorph energy (0 for the lowest one) (eV per formula unit) = 0.00

a = 6.921 Å, b = 6.921 Å, c = 6.921 Å
α = 90.00°, β = 90.00°, γ = 90.00°
Space group F-43m (No. 216)
Asymmetric unit:
Ho 0.000 0.000 0.000
U 0.000 0.000 0.500
Ga 0.250 0.250 0.250

---

[15]
HoGaW | GGA-PBE | relaxed

Output
- polymorph energy (0 for the lowest one) (eV per formula unit) = 0.00

a = 6.358 Å, b = 6.358 Å, c = 6.358 Å
α = 90.00°, β = 90.00°, γ = 90.00°
Space group F-43m (No. 216)
Asymmetric unit:
Ho 0.000 0.000 0.000
Ga 0.250 0.250 0.250
W 0.000 0.000 0.500

---

[16]
Ho2Ga2W3 | GGA-PBE | relaxed

Output
- E (eV for the cell shown) = -103.49

a = 3.482 Å, b = 24.865 Å, c = 3.310 Å
α = 90.00°, β = 90.00°, γ = 90.00°
Space group Cmmm (No. 65)
Asymmetric unit:
Ho 0.000 0.181 0.000
Ga 0.000 0.057 0.000
W 0.000 0.395 0.500
W 0.000 0.500 0.500

---

[17]
HoGaW | GGA-PBE | relaxed

Output
- polymorph energy (0 for the lowest one) (eV per formula unit) = 2.39

a = 6.689 Å, b = 6.689 Å, c = 6.689 Å
α = 90.00°, β = 90.00°, γ = 90.00°
Space group F-43m (No. 216)
Asymmetric unit:
Ho 0.000 0.000 0.000
Ga 0.250 0.250 0.750
W 0.250 0.250 0.250

---

[18]
Y2HoGa | GGA-PBE | relaxed

Output
- polymorph energy (0 for the lowest one) (eV per formula unit) = 0.07

a = 6.822 Å, b = 11.784 Å, c = 5.212 Å
α = 90.00°, β = 90.00°, γ = 90.00°
Space group Cmcm (No. 63)
Asymmetric unit:
Y 0.239 0.089 0.250
Ho 0.000 0.323 0.250
Ga 0.000 0.167 0.750

---

[19]
Y2HoGa | GGA-PBE | relaxed

Output
- polymorph energy (0 for the lowest one) (eV per formula unit) = 0.50

a = 5.214 Å, b = 6.994 Å, c = 11.974 Å
α = 90.00°, β = 90.00°, γ = 90.00°
Space group Amm2 (No. 38)
Asymmetric unit:
Y 0.000 0.000 0.000
Y 0.000 0.250 0.263
Y 0.500 0.000 0.675
Ho 0.000 0.000 0.490
Ho 0.500 0.000 0.185
Ga 0.500 0.240 0.911

---

[20]
Y2HoGa | GGA-PBE | relaxed

Output
- polymorph energy (0 for the lowest one) (eV per formula unit) = 0.00

a = 4.814 Å, b = 10.646 Å, c = 8.558 Å
α = 90.00°, β = 90.00°, γ = 90.00°
Space group Ama2 (No. 40)
Asymmetric unit:
Y 0.250 0.114 0.000
Y 0.250 0.381 0.201
Ho 0.250 0.112 0.403
Ga 0.250 0.321 0.703